[1]
BP2AuS, optimized geometry, DFT PBE; magnetic moment = 0.87 μB per formula unit; density = 4.356 g/cm³; formation energy from raw total energies = 1.887 eV per atom; space group = No. 123
1.0
-3.4308 -2.8075 -1.7851
-1.3345 -1.1876 4.4326
-3.2123 3.8795 0.0723
P Au B S
2 1 1 1
Direct
0.5000 0.0000 0.0000
0.0000 0.5000 0.0000
0.0000 0.0000 0.0000
0.5000 0.5000 0.5000
0.0000 0.0000 0.5000

[2]
BPAuS2, optimized geometry, DFT PBE; magnetic moment = 0.00 μB per formula unit; density = 4.343 g/cm³; formation energy from raw total energies = 1.747 eV per atom; space group = No. 123
1.0
-3.4531 -2.2760 2.8433
0.7275 -4.2702 -2.5347
3.2693 -1.2201 2.9938
P S B Au
1 2 1 1
Direct
0.0000 0.0000 0.5000
0.5000 0.0000 0.0000
0.0000 0.5000 0.0000
0.5000 0.5000 0.5000
0.0000 0.0000 0.0000

[3]
BPAuS2, optimized geometry, DFT PBE; magnetic moment = 0.00 μB per formula unit; density = 5.130 g/cm³; formation energy from raw total energies = 1.296 eV per atom; space group = No. 123
1.0
-2.8874 3.4858 0.2747
-1.4303 -1.5225 4.2859
3.2211 2.5130 1.9677
S Au P B
2 1 1 1
Direct
0.0000 0.0000 0.5000
0.5000 0.0000 0.0000
0.0000 0.5000 0.0000
0.0000 0.0000 0.0000
0.5000 0.5000 0.5000

[4]
BPAuS2, optimized geometry, DFT PBE; magnetic moment = 0.00 μB per formula unit; density = 6.674 g/cm³; formation energy from raw total energies = 0.894 eV per atom; space group = No. 123
1.0
4.3557 0.0000 0.0000
0.0000 4.3557 0.0000
0.0000 0.0000 3.9719
B S Au P
1 2 1 1
Direct
0.0000 0.0000 0.0000
0.0000 0.5000 0.0000
0.5000 0.0000 0.0000
0.5000 0.5000 0.5000
0.0000 0.0000 0.5000

- Number 2 is which compound?
  BPAuS2

- Which value of formation energy from raw total energies does entry 3 give?
  1.296 eV per atom

Please write out number 4 again, unchanged.
BPAuS2, optimized geometry, DFT PBE; magnetic moment = 0.00 μB per formula unit; density = 6.674 g/cm³; formation energy from raw total energies = 0.894 eV per atom; space group = No. 123
1.0
4.3557 0.0000 0.0000
0.0000 4.3557 0.0000
0.0000 0.0000 3.9719
B S Au P
1 2 1 1
Direct
0.0000 0.0000 0.0000
0.0000 0.5000 0.0000
0.5000 0.0000 0.0000
0.5000 0.5000 0.5000
0.0000 0.0000 0.5000

- Which formula does entry 4 have?
  BPAuS2